PBE-GGA NbAuSe2, relaxed; E_form (uncorrected) = 0.078 eV/atom
1.0
0.000 3.354 3.354
3.354 0.000 3.354
3.354 3.354 0.000
Se Nb Au
2 1 1
direct
0.750 0.750 0.750
0.250 0.250 0.250
0.000 0.000 0.000
0.500 0.500 0.500